! KTl2Sb PBE optimized geometry; values from VASP
&SYSTEM
  ibrav = 0, nat = 4, ntyp = 3
/
ATOMIC_SPECIES
K 39.10 K.upf
Tl 204.38 Tl.upf
Sb 121.76 Sb.upf
CELL_PARAMETERS angstrom
3.657 0.000 0.000
0.000 4.755 0.000
0.000 0.000 7.740
ATOMIC_POSITIONS crystal
K 0.000 0.000 0.000
Tl 0.000 0.000 0.476
Tl 0.500 0.500 0.688
Sb 0.500 0.500 0.280
! SG: Pmm2
! E_tot: -2.62 eV/atom
! total magnetic moment: 0.000 μB/cell
! E_form (uncorrected): -0.129 eV/atom

***

! Mg4TlIn5 PBE optimized geometry; values from VASP
&SYSTEM
  ibrav = 0, nat = 10, ntyp = 3
/
ATOMIC_SPECIES
Mg 24.30 Mg.upf
Tl 204.38 Tl.upf
In 114.82 In.upf
CELL_PARAMETERS angstrom
3.485 0.000 0.000
0.000 3.485 0.000
0.000 0.000 20.333
ATOMIC_POSITIONS crystal
Mg 0.000 0.000 0.096
Mg 0.000 0.000 0.284
Mg 0.000 0.000 0.716
Mg 0.000 0.000 0.904
Tl 0.000 0.000 0.500
In 0.500 0.500 0.000
In 0.500 0.500 0.190
In 0.500 0.500 0.380
In 0.500 0.500 0.620
In 0.500 0.500 0.810
! SG: P4/mmm
! DFT formation energy: -0.56 eV per formula unit
! E_tot: -2.30 eV/atom
! total magnetic moment: 0.000 μB/cell

***

! PuPaFePd PBE optimized geometry; values from VASP
&SYSTEM
  ibrav = 0, nat = 16, ntyp = 4
/
ATOMIC_SPECIES
Pu 244.00 Pu.upf
Pa 231.04 Pa.upf
Fe 55.84 Fe.upf
Pd 106.42 Pd.upf
CELL_PARAMETERS angstrom
6.853 0.000 0.000
0.000 6.853 0.000
0.000 0.000 6.853
ATOMIC_POSITIONS crystal
Pu 0.000 0.000 0.000
Pu 0.000 0.500 0.500
Pu 0.500 0.000 0.500
Pu 0.500 0.500 0.000
Pa 0.000 0.000 0.500
Pa 0.000 0.500 0.000
Pa 0.500 0.000 0.000
Pa 0.500 0.500 0.500
Fe 0.250 0.250 0.250
Fe 0.250 0.750 0.750
Fe 0.750 0.250 0.750
Fe 0.750 0.750 0.250
Pd 0.250 0.250 0.750
Pd 0.250 0.750 0.250
Pd 0.750 0.250 0.250
Pd 0.750 0.750 0.750
! SG: F-43m
! DFT formation energy: -0.37 eV per formula unit
! E_tot: -9.46 eV/atom
! total magnetic moment: 19.796 μB/cell

***

! GaGe2Te2 PBE optimized geometry; values from VASP
&SYSTEM
  ibrav = 0, nat = 10, ntyp = 3
/
ATOMIC_SPECIES
Ga 69.72 Ga.upf
Ge 72.64 Ge.upf
Te 127.60 Te.upf
CELL_PARAMETERS angstrom
3.934 0.000 0.000
0.000 3.934 0.000
0.000 0.000 16.513
ATOMIC_POSITIONS crystal
Ga 0.000 0.000 0.000
Ga 0.500 0.500 0.500
Ge 0.000 0.500 0.250
Ge 0.000 0.500 0.750
Ge 0.500 0.000 0.250
Ge 0.500 0.000 0.750
Te 0.000 0.000 0.399
Te 0.000 0.000 0.601
Te 0.500 0.500 0.101
Te 0.500 0.500 0.899
! SG: I4/mmm
! E_tot: -3.54 eV/atom
! total magnetic moment: 0.000 μB/cell
! E_form (uncorrected): 0.167 eV/atom

***

! ScPaGaRh PBE optimized geometry; values from VASP
&SYSTEM
  ibrav = 0, nat = 16, ntyp = 4
/
ATOMIC_SPECIES
Sc 44.96 Sc.upf
Pa 231.04 Pa.upf
Ga 69.72 Ga.upf
Rh 102.91 Rh.upf
CELL_PARAMETERS angstrom
6.853 0.000 0.000
0.000 6.853 0.000
0.000 0.000 6.853
ATOMIC_POSITIONS crystal
Sc 0.000 0.000 0.000
Sc 0.000 0.500 0.500
Sc 0.500 0.000 0.500
Sc 0.500 0.500 0.000
Pa 0.000 0.000 0.500
Pa 0.000 0.500 0.000
Pa 0.500 0.000 0.000
Pa 0.500 0.500 0.500
Ga 0.250 0.250 0.750
Ga 0.250 0.750 0.250
Ga 0.750 0.250 0.250
Ga 0.750 0.750 0.750
Rh 0.250 0.250 0.250
Rh 0.250 0.750 0.750
Rh 0.750 0.250 0.750
Rh 0.750 0.750 0.250
! SG: F-43m
! DFT formation energy: -1.83 eV per formula unit
! E_tot: -7.01 eV/atom
! total magnetic moment: 0.026 μB/cell

***

! BaAcPBr PBE optimized geometry; values from VASP
&SYSTEM
  ibrav = 0, nat = 12, ntyp = 4
/
ATOMIC_SPECIES
Ba 137.33 Ba.upf
Ac 227.00 Ac.upf
P 30.97 P.upf
Br 79.90 Br.upf
CELL_PARAMETERS angstrom
4.465 0.000 0.000
-2.232 3.866 0.000
0.000 0.000 24.424
ATOMIC_POSITIONS crystal
Ba 0.000 0.000 0.000
Ba 0.333 0.667 0.667
Ba 0.667 0.333 0.333
Ac 0.000 0.000 0.805
Ac 0.333 0.667 0.471
Ac 0.667 0.333 0.138
P 0.000 0.000 0.409
P 0.333 0.667 0.075
P 0.667 0.333 0.742
Br 0.000 0.000 0.229
Br 0.333 0.667 0.896
Br 0.667 0.333 0.563
! SG: R3m
! E_tot: -4.76 eV/atom
! total magnetic moment: 0.000 μB/cell
! E_form (uncorrected): -1.478 eV/atom

***

! BRuSeBr2 PBE optimized geometry; values from VASP
&SYSTEM
  ibrav = 0, nat = 5, ntyp = 4
/
ATOMIC_SPECIES
B 10.81 B.upf
Ru 101.07 Ru.upf
Se 78.96 Se.upf
Br 79.90 Br.upf
CELL_PARAMETERS angstrom
4.583 0.000 0.000
0.000 4.583 0.000
0.000 0.000 4.692
ATOMIC_POSITIONS crystal
B 0.000 0.000 0.000
Ru 0.500 0.500 0.500
Se 0.000 0.000 0.500
Br 0.000 0.500 0.000
Br 0.500 0.000 0.000
! SG: P4/mmm
! E_tot: -3.36 eV/atom
! total magnetic moment: 3.620 μB/cell
! E_form (uncorrected): 1.193 eV/atom

***

! NaPm6In5 PBE optimized geometry; values from VASP
&SYSTEM
  ibrav = 0, nat = 12, ntyp = 3
/
ATOMIC_SPECIES
Na 22.99 Na.upf
Pm 145.00 Pm.upf
In 114.82 In.upf
CELL_PARAMETERS angstrom
-2.737 3.846 8.249
2.737 -3.846 8.249
2.737 3.846 -8.249
ATOMIC_POSITIONS crystal
Na 0.000 0.000 0.000
Pm 0.082 0.830 0.253
Pm 0.258 0.500 0.758
Pm 0.423 0.170 0.253
Pm 0.577 0.830 0.747
Pm 0.742 0.500 0.242
Pm 0.918 0.170 0.747
In 0.157 0.657 0.500
In 0.334 0.334 0.000
In 0.500 0.000 0.500
In 0.666 0.666 0.000
In 0.843 0.343 0.500
! SG: Immm
! DFT formation energy: -4.72 eV per formula unit
! E_tot: -4.02 eV/atom
! total magnetic moment: 0.000 μB/cell

***

! LaDy6Er PBE optimized geometry; values from VASP
&SYSTEM
  ibrav = 0, nat = 8, ntyp = 3
/
ATOMIC_SPECIES
La 138.91 La.upf
Dy 162.50 Dy.upf
Er 167.26 Er.upf
CELL_PARAMETERS angstrom
5.045 0.000 0.000
0.000 5.045 0.000
0.000 0.000 10.085
ATOMIC_POSITIONS crystal
La 0.000 0.000 0.000
Dy 0.000 0.500 0.255
Dy 0.000 0.500 0.745
Dy 0.500 0.000 0.255
Dy 0.500 0.000 0.745
Dy 0.500 0.500 0.000
Dy 0.500 0.500 0.500
Er 0.000 0.000 0.500
! SG: P4/mmm
! DFT formation energy: 0.23 eV per formula unit
! E_tot: -4.61 eV/atom
! total magnetic moment: 0.003 μB/cell

***

! BaHf3N PBE optimized geometry; values from VASP
&SYSTEM
  ibrav = 0, nat = 5, ntyp = 3
/
ATOMIC_SPECIES
Ba 137.33 Ba.upf
Hf 178.49 Hf.upf
N 14.01 N.upf
CELL_PARAMETERS angstrom
5.339 0.000 0.000
0.000 5.339 0.000
0.000 0.000 5.339
ATOMIC_POSITIONS crystal
Ba 0.000 0.000 0.000
Hf 0.000 0.000 0.500
Hf 0.000 0.500 0.000
Hf 0.500 0.000 0.000
N 0.500 0.500 0.500
! SG: Pm-3m
! E_tot: -4.83 eV/atom
! total magnetic moment: 1.185 μB/cell
! E_form (uncorrected): 3.187 eV/atom

***

! Cd2InW PBE optimized geometry; values from VASP
&SYSTEM
  ibrav = 0, nat = 8, ntyp = 3
/
ATOMIC_SPECIES
Cd 112.41 Cd.upf
In 114.82 In.upf
W 183.84 W.upf
CELL_PARAMETERS angstrom
11.172 0.000 0.000
0.000 3.037 0.000
-1.487 0.000 4.764
ATOMIC_POSITIONS crystal
Cd 0.232 0.000 0.232
Cd 0.268 0.500 0.768
Cd 0.732 0.500 0.232
Cd 0.768 0.000 0.768
In 0.000 0.000 0.500
In 0.500 0.500 0.500
W 0.000 0.500 0.000
W 0.500 0.000 0.000
! SG: C2/m
! DFT formation energy: 2.05 eV per formula unit
! E_tot: -3.87 eV/atom
! total magnetic moment: 0.000 μB/cell

***

! KLaMn2Cl PBE optimized geometry; values from VASP
&SYSTEM
  ibrav = 0, nat = 5, ntyp = 4
/
ATOMIC_SPECIES
K 39.10 K.upf
La 138.91 La.upf
Mn 54.94 Mn.upf
Cl 35.45 Cl.upf
CELL_PARAMETERS angstrom
4.970 0.000 0.000
0.000 4.970 0.000
0.000 0.000 5.446
ATOMIC_POSITIONS crystal
K 0.000 0.000 0.000
La 0.500 0.500 0.000
Mn 0.000 0.500 0.500
Mn 0.500 0.000 0.500
Cl 0.000 0.000 0.500
! SG: P4/mmm
! E_tot: -4.68 eV/atom
! total magnetic moment: 6.790 μB/cell
! E_form (uncorrected): 0.558 eV/atom

***

> Among the records above, which one has the highest total magnetic moment?

PuPaFePd

***

> What is the total magnetic moment in the second record?

0.000 μB/cell

***

> Which value of E_tot does entry 2 give?

-2.30 eV/atom

***

> Number 4 is which compound?

GaGe2Te2